Entry 1:
## KBaHAu (PBE)

Data for an optimized crystal structure of KBaHAu.

Geometry as POSCAR:
```
KBaHAu
1.0
-3.1683 0.4350 4.4603
-0.0453 -4.0197 3.7364
2.2879 0.8040 4.9234
Ba Au H K
1 1 1 1
Direct
0.5000 0.5000 0.5000
0.7500 0.7500 0.7500
0.2500 0.2500 0.2500
0.0000 0.0000 0.0000
```

Results
The calculation puts the volume at 116.9 Å³ per cell. The space group is F-43m, No. 216. As for the total energy: -0.193 Ry per atom. For the density, the calculation gives 5.32 g/cm3.



Entry 2:
## H2Pd2Au (PBE)

Data for an optimized crystal structure of H2Pd2Au.

Geometry as POSCAR:
```
H2Pd2Au
1.0
-2.7712 3.1378 4.7010
-5.5515 -2.4936 -1.6082
0.5091 -2.3299 1.8553
Pd H Au
4 4 2
Direct
0.8403 0.3403 0.5000
0.1597 0.6597 0.5000
0.3403 0.1597 0.5000
0.6597 0.8403 0.5000
0.2603 0.7603 0.0000
0.7397 0.2397 0.0000
0.7603 0.7397 0.0000
0.2397 0.2603 0.0000
0.5000 0.5000 0.0000
0.0000 0.0000 0.0000
```

Results
The calculation puts the volume at 119.7 Å³ per cell. The space group is P4/mbm, No. 127. As for the total energy: -0.291 Ry per atom. For the density, the calculation gives 11.42 g/cm3.



Entry 3:
## ZnFe2Ag (PBE)

Data for an optimized crystal structure of ZnFe2Ag.

Geometry as POSCAR:
```
ZnFe2Ag
1.0
-4.0929 7.0471 -4.0245
-5.6218 5.0720 -5.0280
-6.1902 6.1201 -2.6147
Ag Zn Fe
1 1 2
Direct
0.7500 0.7500 0.7500
0.2500 0.2500 0.2500
0.9962 0.9962 0.9962
0.5038 0.5038 0.5038
```

Results
The calculation puts the volume at 56.2 Å³ per cell. The space group is R-3m, No. 166. The formation energy is 25.9 kJ per mole of atoms. For the density, the calculation gives 8.42 g/cm3.



Entry 4:
## TbPm12Sm6 (PBE)

Data for an optimized crystal structure of TbPm12Sm6.

Geometry as POSCAR:
```
TbPm12Sm6
1.0
-6.9722 -1.5179 4.9782
-0.3921 -8.2198 -2.8246
5.0852 -2.6333 6.5501
Pm Sm Tb
12 6 1
Direct
0.2211 0.4634 0.5651
0.4349 0.7789 0.5366
0.8047 0.6402 0.9829
0.9829 0.8047 0.6402
0.4634 0.5651 0.2211
0.0171 0.1953 0.3598
0.1953 0.3598 0.0171
0.5651 0.2211 0.4634
0.3598 0.0171 0.1953
0.5366 0.4349 0.7789
0.6402 0.9829 0.8047
0.7789 0.5366 0.4349
0.7387 0.9045 0.3016
0.9045 0.3016 0.7387
0.3016 0.7387 0.9045
0.6984 0.2613 0.0955
0.0955 0.6984 0.2613
0.2613 0.0955 0.6984
0.0000 0.0000 0.0000
```

Results
The calculation puts the volume at 658.4 Å³ per cell. The space group is R-3, No. 148. The formation energy is 13.0 kJ per mole of atoms. For the density, the calculation gives 7.06 g/cm3.



Entry 5:
## PmGeBiRh (PBE)

Data for an optimized crystal structure of PmGeBiRh.

Geometry as POSCAR:
```
PmGeBiRh
1.0
5.0287 0.0000 0.0000
2.5144 4.3550 0.0000
2.5144 1.4517 4.1059
Ge Bi Rh Pm
1 1 1 1
Direct
0.2500 0.2500 0.2500
0.5000 0.5000 0.5000
0.7500 0.7500 0.7500
0.0000 0.0000 0.0000
```

Results
The calculation puts the volume at 89.9 Å³ per cell. The space group is F-43m, No. 216. The formation energy is -31.6 kJ per mole of atoms. For the density, the calculation gives 9.78 g/cm3.



Entry 6:
## Ce2HfSn (PBE)

Data for an optimized crystal structure of Ce2HfSn.

Geometry as POSCAR:
```
Ce2HfSn
1.0
-0.2241 3.1643 -0.6323
-2.7677 1.2304 -1.1353
-4.7074 3.4367 10.5931
Sn Ce Hf
1 2 1
Direct
0.0000 0.0000 0.0000
0.0909 0.0909 0.7273
0.9091 0.9091 0.2727
0.5000 0.5000 0.5000
```

Results
The calculation puts the volume at 108.2 Å³ per cell. The space group is R-3m, No. 166. The formation energy is 14.1 kJ per mole of atoms. For the density, the calculation gives 8.86 g/cm3.



Entry 7:
## PrGa2Pd5 (PBE)

Data for an optimized crystal structure of PrGa2Pd5.

Geometry as POSCAR:
```
PrGa2Pd5
1.0
-1.2157 2.7065 2.6276
-2.4168 -3.1678 5.1336
4.0946 -0.1559 5.0438
Ga Pd Pr
2 5 1
Direct
0.7562 0.7438 0.7438
0.2438 0.2562 0.2562
0.6428 0.5533 0.1611
0.3572 0.4467 0.8389
0.0000 0.5000 0.5000
0.3572 0.8389 0.4467
0.6428 0.1611 0.5533
0.0000 0.0000 0.0000
```

Results
The calculation puts the volume at 143.4 Å³ per cell. The space group is Immm, No. 71. The formation energy is -66.6 kJ per mole of atoms. For the density, the calculation gives 9.41 g/cm3.



Entry 8:
## NpGa2Si2Pt7 (PBE)

Data for an optimized crystal structure of NpGa2Si2Pt7.

Geometry as POSCAR:
```
NpGa2Si2Pt7
1.0
3.9479 -0.0039 0.1341
0.0024 4.0435 0.0027
2.4582 2.0057 13.8260
Ga Pt Si Np
2 7 2 1
Direct
0.5404 0.7901 0.4200
0.4596 0.2099 0.5800
0.6207 0.0830 0.8346
0.1433 0.2835 0.4325
0.8787 0.4179 0.1639
0.1213 0.5821 0.8361
0.3793 0.9170 0.1654
0.5000 0.5000 0.0000
0.8567 0.7165 0.5675
0.3035 0.3681 0.2635
0.6965 0.6319 0.7365
0.0000 0.0000 0.0000
```

Results
The calculation puts the volume at 219.4 Å³ per cell. The space group is C2/m, No. 12. For the density, the calculation gives 13.61 g/cm3. The raw formation energy comes out at -0.55 eV per atom.